# 1
The following is a DFT calculation (PBE-GGA) of an optimized crystal structure of ScBeV.

Unit cell a=11.772 b=11.053 c=4.846 alpha=86.22 beta=69.53 gamma=24.26
Atoms (fractional coordinates):
1 Sc 0.016 0.734 0.016
2 Sc 0.266 0.984 0.266
3 Sc 0.734 0.016 0.734
4 Sc 0.984 0.266 0.984
5 Be 0.315 0.315 0.435
6 Be 0.435 0.435 0.315
7 Be 0.565 0.565 0.685
8 Be 0.685 0.685 0.565
9 V 0.007 0.007 0.743
10 V 0.257 0.257 0.993
11 V 0.743 0.743 0.007
12 V 0.993 0.993 0.257

Total magnetization (μB/f.u.): 0.000
DFT formation energy (meV per atom): 446

***

# 2
The following is a DFT calculation (PBE-GGA) of an optimized crystal structure of Pa2InPd6.

Unit cell a=5.699 b=5.699 c=6.230 alpha=90.00 beta=90.00 gamma=120.00
Atoms (fractional coordinates):
1 Pa 0.333 0.667 0.276
2 Pa 0.667 0.333 0.724
3 In 0.000 0.000 0.500
4 Pd 0.175 0.350 0.825
5 Pd 0.175 0.825 0.825
6 Pd 0.350 0.175 0.175
7 Pd 0.650 0.825 0.825
8 Pd 0.825 0.175 0.175
9 Pd 0.825 0.650 0.175

Total magnetization (μB/f.u.): 0.000
DFT formation energy (meV per atom): -530

***

# 3
The following is a DFT calculation (PBE-GGA) of an optimized crystal structure of Dy2PuSc.

Unit cell a=3.458 b=3.458 c=33.270 alpha=90.00 beta=90.00 gamma=120.00
Atoms (fractional coordinates):
1 Dy 0.000 0.000 0.000
2 Dy 0.000 0.000 0.163
3 Dy 0.333 0.667 0.667
4 Dy 0.333 0.667 0.829
5 Dy 0.667 0.333 0.333
6 Dy 0.667 0.333 0.496
7 Pu 0.000 0.000 0.581
8 Pu 0.333 0.667 0.248
9 Pu 0.667 0.333 0.914
10 Sc 0.000 0.000 0.415
11 Sc 0.333 0.667 0.082
12 Sc 0.667 0.333 0.748

Total magnetization (μB/f.u.): 5.850
DFT formation energy (meV per atom): 110

***

# 4
The following is a DFT calculation (PBE-GGA) of an optimized crystal structure of LaCd2Se.

Unit cell a=4.376 b=4.106 c=6.340 alpha=90.00 beta=104.22 gamma=90.00
Atoms (fractional coordinates):
1 La 0.000 0.000 0.000
2 Cd 0.363 0.000 0.566
3 Cd 0.850 0.500 0.528
4 Se 0.525 0.500 0.063

Total magnetization (μB/f.u.): 0.000
Energy relative to the elements, uncorrected (kJ per mole of atoms): -77.5

***

# 5
The following is a DFT calculation (PBE-GGA) of an optimized crystal structure of InSn2Ru2.

Unit cell a=4.076 b=4.076 c=12.311 alpha=90.00 beta=90.00 gamma=90.00
Atoms (fractional coordinates):
1 In 0.000 0.000 0.000
2 In 0.500 0.500 0.500
3 Sn 0.000 0.500 0.250
4 Sn 0.000 0.500 0.750
5 Sn 0.500 0.000 0.250
6 Sn 0.500 0.000 0.750
7 Ru 0.000 0.000 0.395
8 Ru 0.000 0.000 0.605
9 Ru 0.500 0.500 0.105
10 Ru 0.500 0.500 0.895

Total magnetization (μB/f.u.): 0.000
DFT formation energy (meV per atom): 194

***

# 6
The following is a DFT calculation (PBE-GGA) of an optimized crystal structure of Sm6C2SeBr3.

Unit cell a=6.807 b=6.807 c=7.598 alpha=98.60 beta=98.60 gamma=120.00
Atoms (fractional coordinates):
1 Sm 0.075 0.438 0.813
2 Sm 0.199 0.199 0.186
3 Sm 0.438 0.075 0.813
4 Sm 0.562 0.925 0.187
5 Sm 0.801 0.801 0.814
6 Sm 0.925 0.562 0.187
7 C 0.167 0.833 0.000
8 C 0.833 0.167 0.000
9 Se 0.500 0.500 0.000
10 Br 0.000 0.000 0.500
11 Br 0.337 0.663 0.500
12 Br 0.663 0.337 0.500

Total magnetization (μB/f.u.): 0.000
Energy relative to the elements, uncorrected (kJ per mole of atoms): -106.2

***

# 7
The following is a DFT calculation (PBE-GGA) of an optimized crystal structure of TlInGa2Ni.

Unit cell a=4.660 b=4.660 c=5.153 alpha=90.00 beta=90.00 gamma=90.00
Atoms (fractional coordinates):
1 Tl 0.000 0.000 0.000
2 In 0.500 0.500 0.000
3 Ga 0.000 0.500 0.500
4 Ga 0.500 0.000 0.500
5 Ni 0.500 0.500 0.500

Total magnetization (μB/f.u.): 0.000
DFT formation energy (meV per atom): -58

***

# 8
The following is a DFT calculation (PBE-GGA) of an optimized crystal structure of LaMn2Ni.

Unit cell a=6.447 b=6.447 c=6.447 alpha=90.00 beta=90.00 gamma=90.00
Atoms (fractional coordinates):
1 La 0.000 0.000 0.000
2 La 0.000 0.500 0.500
3 La 0.500 0.000 0.500
4 La 0.500 0.500 0.000
5 Mn 0.250 0.250 0.250
6 Mn 0.250 0.250 0.750
7 Mn 0.250 0.750 0.250
8 Mn 0.250 0.750 0.750
9 Mn 0.750 0.250 0.250
10 Mn 0.750 0.250 0.750
11 Mn 0.750 0.750 0.250
12 Mn 0.750 0.750 0.750
13 Ni 0.000 0.000 0.500
14 Ni 0.000 0.500 0.000
15 Ni 0.500 0.000 0.000
16 Ni 0.500 0.500 0.500

Total magnetization (μB/f.u.): 6.377
DFT formation energy (meV per atom): 396

***

# 9
The following is a DFT calculation (PBE-GGA) of an optimized crystal structure of CaP2OsCl.

Unit cell a=4.519 b=4.519 c=5.482 alpha=90.00 beta=90.00 gamma=90.00
Atoms (fractional coordinates):
1 Ca 0.000 0.000 0.000
2 P 0.000 0.500 0.500
3 P 0.500 0.000 0.500
4 Os 0.500 0.500 0.500
5 Cl 0.500 0.500 0.000

Total magnetization (μB/f.u.): 0.000
Energy relative to the elements, uncorrected (kJ per mole of atoms): -20.3

***

# 10
The following is a DFT calculation (PBE-GGA) of an optimized crystal structure of SmErSiHg.

Unit cell a=7.275 b=7.275 c=7.275 alpha=90.00 beta=90.00 gamma=90.00
Atoms (fractional coordinates):
1 Sm 0.000 0.000 0.000
2 Sm 0.000 0.500 0.500
3 Sm 0.500 0.000 0.500
4 Sm 0.500 0.500 0.000
5 Er 0.000 0.000 0.500
6 Er 0.000 0.500 0.000
7 Er 0.500 0.000 0.000
8 Er 0.500 0.500 0.500
9 Si 0.250 0.250 0.750
10 Si 0.250 0.750 0.250
11 Si 0.750 0.250 0.250
12 Si 0.750 0.750 0.750
13 Hg 0.250 0.250 0.250
14 Hg 0.250 0.750 0.750
15 Hg 0.750 0.250 0.750
16 Hg 0.750 0.750 0.250

Total magnetization (μB/f.u.): 0.000
Energy relative to the elements, uncorrected (kJ per mole of atoms): -43.7

***

# 11
The following is a DFT calculation (PBE-GGA) of an optimized crystal structure of Tb3Y4Rh4.

Unit cell a=9.318 b=9.318 c=9.318 alpha=156.75 beta=122.99 gamma=62.40
Atoms (fractional coordinates):
1 Tb 0.000 0.000 0.000
2 Tb 0.397 0.897 0.500
3 Tb 0.603 0.103 0.500
4 Y 0.021 0.335 0.687
5 Y 0.352 0.665 0.687
6 Y 0.648 0.335 0.313
7 Y 0.979 0.665 0.313
8 Rh 0.253 0.253 0.000
9 Rh 0.289 0.500 0.789
10 Rh 0.711 0.500 0.211
11 Rh 0.747 0.747 0.000

Total magnetization (μB/f.u.): 0.000
DFT formation energy (meV per atom): -609

***

# 12
The following is a DFT calculation (PBE-GGA) of an optimized crystal structure of CaAlCr3.

Unit cell a=4.343 b=4.343 c=4.343 alpha=90.00 beta=90.00 gamma=90.00
Atoms (fractional coordinates):
1 Ca 0.000 0.000 0.000
2 Al 0.500 0.500 0.500
3 Cr 0.000 0.000 0.500
4 Cr 0.000 0.500 0.000
5 Cr 0.500 0.000 0.000

Total magnetization (μB/f.u.): 0.000
DFT formation energy (meV per atom): 2384